No. 1
Material: ZnCdRu3
Method: DFT, PBE-GGA
State: optimized geometry

## Properties
Crystal system: cubic
Formation enthalpy at 0 K (eV per atom): 1.394
Distance to the lowest polymorph of the same formula (meV/atom): 0

abc: 4.5896 4.5896 4.5896
angles: 90.00 90.00 90.00
Closest atoms and distances in Å follow each position.
Positions (direct):
Zn 0.0000 0.0000 0.0000  6 Ru 2.29
Cd 0.5000 0.5000 0.5000  12 Ru 3.25
Ru 0.0000 0.0000 0.5000  2 Zn 2.29
Ru 0.0000 0.5000 0.0000  2 Zn 2.29
Ru 0.5000 0.0000 0.0000  2 Zn 2.29

No. 2
Material: AcBeAu
Method: DFT, PBE-GGA
State: optimized geometry

## Properties
Crystal system: hexagonal
Formation enthalpy at 0 K (eV per atom): -0.389
Distance to the lowest polymorph of the same formula (meV/atom): 0

abc: 4.3429 4.3429 4.3831
angles: 90.00 90.00 120.00
Closest atoms and distances in Å follow each position.
Positions (direct):
Ac 0.0000 0.0000 0.0000  6 Be 3.33, 6 Au 3.33
Be 0.3333 0.6667 0.5000  3 Au 2.51
Au 0.6667 0.3333 0.5000  3 Be 2.51

No. 3
Material: SrTe2P
Method: DFT, PBE-GGA
State: optimized geometry

## Properties
Crystal system: tetragonal
Distance to the lowest polymorph of the same formula (meV/atom): 356

abc: 6.3848 6.3848 6.3848
angles: 139.02 139.02 59.34
Closest atoms and distances in Å follow each position.
Positions (direct):
Sr 0.0000 0.0000 0.0000  4 P 3.16
Te 0.2500 0.7500 0.5000  4 Te 3.16
Te 0.7500 0.2500 0.5000  4 Te 3.16
P 0.5000 0.5000 0.0000  4 Sr 3.16

No. 4
Material: Nd2Al5Au3
Method: DFT, PBE-GGA
State: optimized geometry

## Properties
Crystal system: orthorhombic
Formation enthalpy at 0 K (eV per atom): -0.698

abc: 8.7102 8.7102 8.7102
angles: 103.66 91.05 138.19
Closest atoms and distances in Å follow each position.
Positions (direct):
Nd 0.1299 0.2387 0.3686  10 Al 3.21-3.48, 6 Au 3.28-3.58
Nd 0.3701 0.7387 0.1089  10 Al 3.21-3.48, 6 Au 3.28-3.58
Nd 0.6299 0.2613 0.8911  10 Al 3.21-3.48, 6 Au 3.28-3.58
Nd 0.8701 0.7613 0.6314  10 Al 3.21-3.48, 6 Au 3.28-3.58
Al 0.0117 0.7500 0.2617  2 Au 2.59, 2 Al 2.69
Al 0.1124 0.6460 0.7584  3 Au 2.50-2.60, 2 Al 2.69
Al 0.2500 0.2500 0.0000  4 Au 2.59
Al 0.3876 0.1460 0.5335  3 Au 2.50-2.60, 2 Al 2.69
Al 0.4883 0.7500 0.7383  2 Au 2.59, 2 Al 2.69
Al 0.5117 0.2500 0.2617  2 Au 2.59, 2 Al 2.69
Al 0.6124 0.8540 0.4665  3 Au 2.50-2.60, 2 Al 2.69
Al 0.7500 0.7500 0.0000  4 Au 2.59
Al 0.8876 0.3540 0.2416  3 Au 2.50-2.60, 2 Al 2.69
Al 0.9883 0.2500 0.7383  2 Au 2.59, 2 Al 2.69
Au 0.1305 0.8775 0.0080  5 Al 2.50-2.59
Au 0.2500 0.7500 0.5000  6 Al 2.60-2.91
Au 0.3695 0.3775 0.7470  5 Al 2.50-2.59
Au 0.6305 0.6225 0.2530  5 Al 2.50-2.59
Au 0.7500 0.2500 0.5000  6 Al 2.60-2.91
Au 0.8695 0.1225 0.9920  5 Al 2.50-2.59

No. 5
Material: Ni7Sn2GeH2
Method: DFT, PBE-GGA
State: optimized geometry

## Properties
Crystal system: tetragonal

abc: 10.4897 10.4897 10.4897
angles: 159.80 159.80 28.72
Closest atoms and distances in Å follow each position.
Positions (direct):
Ni 0.0000 0.0000 0.0000  2 H 1.77
Ni 0.0870 0.5870 0.5000  2 H 1.84
Ni 0.1740 0.1740 0.0000  1 H 1.76
Ni 0.4130 0.9130 0.5000  2 H 1.84
Ni 0.5870 0.0870 0.5000  2 H 1.84
Ni 0.8260 0.8260 0.0000  1 H 1.76
Ni 0.9130 0.4130 0.5000  2 H 1.84
Sn 0.3042 0.3042 0.0000  9 Ni 2.64-2.88
Sn 0.6958 0.6958 0.0000  9 Ni 2.64-2.88
Ge 0.5000 0.5000 0.0000  12 Ni 2.55-2.60
H 0.0873 0.0873 0.0000  6 Ni 1.76-1.84
H 0.9127 0.9127 0.0000  6 Ni 1.76-1.84

No. 6
Material: KGaRh
Method: DFT, PBE-GGA
State: optimized geometry

## Properties
Crystal system: tetragonal
Formation enthalpy at 0 K (eV per atom): -0.295

abc: 4.5445 4.5445 7.3981
angles: 90.00 90.00 90.00
Closest atoms and distances in Å follow each position.
Positions (direct):
K 0.2500 0.2500 0.1604  4 Rh 3.39, 5 Ga 3.48-3.56
K 0.7500 0.7500 0.8396  4 Rh 3.39, 5 Ga 3.48-3.56
Ga 0.2500 0.2500 0.6314  4 Rh 2.47
Ga 0.7500 0.7500 0.3686  4 Rh 2.47
Rh 0.2500 0.7500 0.5000  4 Ga 2.47
Rh 0.7500 0.2500 0.5000  4 Ga 2.47

No. 7
Material: YPuSnPb
Method: DFT, PBE-GGA
State: optimized geometry

## Properties
Crystal system: cubic
Formation enthalpy at 0 K (eV per atom): -0.343

abc: 5.3950 5.3950 5.3950
angles: 60.00 60.00 60.00
Closest atoms and distances in Å follow each position.
Positions (direct):
Y 0.0000 0.0000 0.0000  4 Sn 3.30, 4 Pb 3.30
Pu 0.5000 0.5000 0.5000  4 Pb 3.30, 4 Sn 3.30
Sn 0.7500 0.7500 0.7500  4 Y 3.30, 4 Pu 3.30
Pb 0.2500 0.2500 0.2500  4 Pu 3.30, 4 Y 3.30

No. 8
Material: ScCdRu2
Method: DFT, PBE-GGA
State: optimized geometry

## Properties
Crystal system: cubic
Formation enthalpy at 0 K (eV per atom): 0.095

abc: 4.5791 4.5791 4.5791
angles: 60.00 60.00 60.00
Closest atoms and distances in Å follow each position.
Positions (direct):
Sc 0.0000 0.0000 0.0000  4 Cd 2.80, 4 Ru 2.80
Cd 0.7500 0.7500 0.7500  4 Ru 2.80, 4 Sc 2.80
Ru 0.2500 0.2500 0.2500  4 Ru 2.80, 4 Sc 2.80
Ru 0.5000 0.5000 0.5000  4 Cd 2.80, 4 Ru 2.80

No. 9
Material: YTaMnPd2
Method: DFT, PBE-GGA
State: optimized geometry

## Properties
Crystal system: tetragonal
Formation enthalpy at 0 K (eV per atom): 1.000

abc: 4.5974 4.5974 4.7294
angles: 90.00 90.00 90.00
Closest atoms and distances in Å follow each position.
Positions (direct):
Y 0.0000 0.0000 0.0000  2 Mn 2.36
Ta 0.5000 0.5000 0.0000  4 Y 3.25, 8 Pd 3.30
Mn 0.0000 0.0000 0.5000  4 Pd 2.30, 2 Y 2.36
Pd 0.0000 0.5000 0.5000  2 Mn 2.30
Pd 0.5000 0.0000 0.5000  2 Mn 2.30

No. 10
Material: CuRe2Os2
Method: DFT, PBE-GGA
State: optimized geometry

## Properties
Crystal system: tetragonal
Formation enthalpy at 0 K (eV per atom): 0.364

abc: 7.5654 7.5654 2.7459
angles: 90.00 90.00 90.00
Closest atoms and distances in Å follow each position.
Positions (direct):
Cu 0.0000 0.0000 0.0000  2 Cu 2.75, 4 Os 2.98
Cu 0.5000 0.5000 0.0000  2 Cu 2.75, 4 Os 2.98
Re 0.1660 0.3340 0.5000  6 Os 2.61-2.62, 2 Re 2.75
Re 0.3340 0.8340 0.5000  6 Os 2.61-2.62, 2 Re 2.75
Re 0.6660 0.1660 0.5000  6 Os 2.61-2.62, 2 Re 2.75
Re 0.8340 0.6660 0.5000  6 Os 2.61-2.62, 2 Re 2.75
Os 0.1264 0.6264 0.0000  6 Re 2.61-2.62, 3 Os 2.71-2.75
Os 0.3736 0.1264 0.0000  6 Re 2.61-2.62, 3 Os 2.71-2.75
Os 0.6264 0.8736 0.0000  6 Re 2.61-2.62, 3 Os 2.71-2.75
Os 0.8736 0.3736 0.0000  6 Re 2.61-2.62, 3 Os 2.71-2.75

No. 11
Material: Er12Sc7Cd
Method: DFT, PBE-GGA
State: optimized geometry

## Properties
Crystal system: trigonal
Formation enthalpy at 0 K (eV per atom): 0.078

abc: 8.4246 8.4246 8.4246
angles: 101.00 101.00 101.00
Closest atoms and distances in Å follow each position.
Positions (direct):
Er 0.0010 0.7388 0.2611  6 Er 3.27-3.44, 5 Sc 3.31-3.46
Er 0.1570 0.1605 0.4183  6 Er 3.27-3.44, 4 Sc 3.42-3.65, 1 Cd 3.51
Er 0.1605 0.4183 0.1570  6 Er 3.27-3.44, 4 Sc 3.42-3.65, 1 Cd 3.51
Er 0.2611 0.0010 0.7388  6 Er 3.27-3.44, 5 Sc 3.31-3.46
Er 0.2612 0.7389 0.9990  6 Er 3.27-3.44, 5 Sc 3.31-3.46
Er 0.4183 0.1570 0.1605  6 Er 3.27-3.44, 4 Sc 3.42-3.65, 1 Cd 3.51
Er 0.5817 0.8430 0.8395  6 Er 3.27-3.44, 4 Sc 3.42-3.65, 1 Cd 3.51
Er 0.7388 0.2611 0.0010  6 Er 3.27-3.44, 5 Sc 3.31-3.46
Er 0.7389 0.9990 0.2612  6 Er 3.27-3.44, 5 Sc 3.31-3.46
Er 0.8395 0.5817 0.8430  6 Er 3.27-3.44, 4 Sc 3.42-3.65, 1 Cd 3.51
Er 0.8430 0.8395 0.5817  6 Er 3.27-3.44, 4 Sc 3.42-3.65, 1 Cd 3.51
Er 0.9990 0.2612 0.7389  6 Er 3.27-3.44, 5 Sc 3.31-3.46
Sc 0.0000 0.0000 0.0000  12 Er 3.40-3.42
Sc 0.1770 0.5916 0.5912  3 Sc 3.04-3.29, 1 Cd 3.16, 2 Er 3.31-3.32
Sc 0.4084 0.4088 0.8230  3 Sc 3.04-3.29, 1 Cd 3.16, 2 Er 3.31-3.32
Sc 0.4088 0.8230 0.4084  3 Sc 3.04-3.29, 1 Cd 3.16, 2 Er 3.31-3.32
Sc 0.5912 0.1770 0.5916  3 Sc 3.04-3.29, 1 Cd 3.16, 2 Er 3.31-3.32
Sc 0.5916 0.5912 0.1770  3 Sc 3.04-3.29, 1 Cd 3.16, 2 Er 3.31-3.32
Sc 0.8230 0.4084 0.4088  3 Sc 3.04-3.29, 1 Cd 3.16, 2 Er 3.31-3.32
Cd 0.5000 0.5000 0.5000  6 Sc 3.16, 6 Er 3.51

No. 12
Material: Tc2MoW
Method: DFT, PBE-GGA
State: optimized geometry

## Properties
Crystal system: cubic
Formation enthalpy at 0 K (eV per atom): 0.130
Distance to the lowest polymorph of the same formula (meV/atom): 62

abc: 4.4308 4.4308 4.4308
angles: 60.00 60.00 60.00
Closest atoms and distances in Å follow each position.
Positions (direct):
Tc 0.0000 0.0000 0.0000  4 W 2.71, 4 Tc 2.71
Tc 0.2500 0.2500 0.2500  4 Mo 2.71, 4 Tc 2.71
Mo 0.5000 0.5000 0.5000  4 W 2.71, 4 Tc 2.71
W 0.7500 0.7500 0.7500  4 Mo 2.71, 4 Tc 2.71

We obtain total energy values of -4.61; -4.09; -3.65; -4.51; -5.18; -4.12; -7.47; -6.35; -6.57; -9.93; -4.92; -11.00 eV/atom for the records listed above, in that order.